1.
Material: Ac3TbNd3S8
Method: DFT, PBE
State: optimized geometry

Calculated values
Formation energy from raw total energies in eV/f.u.: -30.67
N(E_F) in states/eV/cell: 21.749
Calculated volume in A^3/atom: 27.2

Unit cell a=8.2475 b=8.2475 c=20.7835 alpha=90.00 beta=90.00 gamma=120.00
Closest atoms and distances in Å follow each position.
Space group R-3m (No. 166, hexagonal axes)
Unique sites:
Ac  0.0000  0.5000  0.0000 [9 per cell]  6 S 3.00-3.01
Tb  0.0000  0.0000  0.5000 [3 per cell]  6 S 2.81
Nd  0.0000  0.5000  0.5000 [9 per cell]  6 S 2.89
S  0.0000  0.0000  0.2451 [6 per cell]  3 Nd 2.89, 3 Ac 3.00
S  0.0091  0.5046  0.2431 [18 per cell]  1 Tb 2.81, 2 Nd 2.89, 2 Ac 3.01

2.
Material: PrTmPd4
Method: DFT, PBE
State: optimized geometry

Calculated values
N(E_F) in states/eV/cell: 6.359
Calculated volume in A^3/atom: 19.4
Formation energy in eV per atom: -0.786

Unit cell a=7.7538 b=7.7538 c=7.7538 alpha=90.00 beta=90.00 gamma=90.00
Closest atoms and distances in Å follow each position.
Space group F-43m (No. 216)
Unique sites:
Pr  0.0000  0.0000  0.0000 [4 per cell]  12 Pd 3.22, 4 Tm 3.36
Tm  0.2500  0.2500  0.7500 [4 per cell]  12 Pd 3.21, 4 Pr 3.36
Pd  0.1244  0.1244  0.3756 [16 per cell]  6 Pd 2.73-2.75

- Among the records above, which one has the lowest calculated volume?
  PrTmPd4

- Which of these has the lowest calculated volume?
  PrTmPd4

Please write out number 2 again, unchanged.
Material: PrTmPd4
Method: DFT, PBE
State: optimized geometry

Calculated values
N(E_F) in states/eV/cell: 6.359
Calculated volume in A^3/atom: 19.4
Formation energy in eV per atom: -0.786

Unit cell a=7.7538 b=7.7538 c=7.7538 alpha=90.00 beta=90.00 gamma=90.00
Closest atoms and distances in Å follow each position.
Space group F-43m (No. 216)
Unique sites:
Pr  0.0000  0.0000  0.0000 [4 per cell]  12 Pd 3.22, 4 Tm 3.36
Tm  0.2500  0.2500  0.7500 [4 per cell]  12 Pd 3.21, 4 Pr 3.36
Pd  0.1244  0.1244  0.3756 [16 per cell]  6 Pd 2.73-2.75